# 1
Below is ErFeRu at its PBEsol-relaxed geometry, with properties calculated at the SCAN level.

Structure (POSCAR):
```
ErFeRu
1.0
-2.493 2.640 3.613
2.493 -2.640 3.613
2.493 2.640 -3.613
Er Fe Ru
2 2 2
Direct
0.374 0.124 0.250
0.626 0.876 0.750
0.000 0.000 0.500
0.000 0.500 0.000
0.000 0.500 0.500
0.500 0.500 0.000
```

Output
**Calculated formation energy**: -341 meV/atom
**Space group**: No. 74

# 2
Below is ScIN2O at its PBEsol-relaxed geometry, with properties calculated at the SCAN level.

Structure (POSCAR):
```
ScIN2O
1.0
4.104 0.000 0.000
0.000 4.104 0.000
0.000 0.000 3.950
Sc I N O
1 1 2 1
Direct
0.000 0.000 0.000
0.500 0.500 0.000
0.000 0.500 0.500
0.500 0.000 0.500
0.500 0.500 0.500
```

Output
**VASP energy**: -1.02125 Ry/atom
**Space group**: No. 123

# 3
Below is Nd3Ni at its PBEsol-relaxed geometry, with properties calculated at the SCAN level.

Structure (POSCAR):
```
Nd3Ni
1.0
6.920 0.000 0.000
0.000 9.792 0.000
0.000 0.000 6.377
Nd Ni
12 4
Direct
0.033 0.250 0.143
0.176 0.066 0.673
0.176 0.434 0.673
0.324 0.566 0.173
0.324 0.934 0.173
0.467 0.750 0.643
0.533 0.250 0.357
0.676 0.066 0.827
0.676 0.434 0.827
0.824 0.566 0.327
0.824 0.934 0.327
0.967 0.750 0.857
0.114 0.750 0.430
0.386 0.250 0.930
0.614 0.750 0.070
0.886 0.250 0.570
```

Output
**Calculated formation energy**: -182 meV/atom
**Space group**: No. 62

# 4
Below is NiSbW2 at its PBEsol-relaxed geometry, with properties calculated at the SCAN level.

Structure (POSCAR):
```
NiSbW2
1.0
3.001 0.000 0.000
0.000 3.001 0.000
0.000 0.000 6.856
Ni Sb W
1 1 2
Direct
0.000 0.000 0.000
0.000 0.000 0.500
0.500 0.500 0.221
0.500 0.500 0.779
```

Output
**VASP energy**: -3.49146 Ry/atom
**Space group**: No. 123

# 5
Below is NbH3Ru at its PBEsol-relaxed geometry, with properties calculated at the SCAN level.

Structure (POSCAR):
```
NbH3Ru
1.0
3.423 0.000 0.000
0.000 3.423 0.000
0.000 0.000 3.423
Nb H Ru
1 3 1
Direct
0.000 0.000 0.000
0.000 0.500 0.500
0.500 0.000 0.500
0.500 0.500 0.000
0.500 0.500 0.500
```

Output
**VASP energy**: -1.14297 Ry/atom
**Space group**: No. 221

# 6
Below is In2CuSe3Br at its PBEsol-relaxed geometry, with properties calculated at the SCAN level.

Structure (POSCAR):
```
In2CuSe3Br
1.0
5.673 0.000 0.000
-0.026 5.721 0.000
-2.712 -2.808 5.783
In Cu Se Br
2 1 3 1
Direct
0.000 0.000 0.000
0.290 0.730 0.458
0.576 0.434 0.011
0.442 0.320 0.247
0.662 0.134 0.711
0.857 0.846 0.245
0.165 0.592 0.744
```

Output
**VASP energy**: -1.73785 Ry/atom
**Space group**: No. 1

# 7
Below is LiCuAg2 at its PBEsol-relaxed geometry, with properties calculated at the SCAN level.

Structure (POSCAR):
```
LiCuAg2
1.0
2.776 0.000 0.000
0.000 2.776 0.000
0.000 0.000 7.620
Li Cu Ag
1 1 2
Direct
0.000 0.000 0.000
0.000 0.000 0.500
0.500 0.500 0.260
0.500 0.500 0.740
```

Output
**Calculated formation energy**: -27 meV/atom
**Space group**: No. 123

# 8
Below is MgTc2W at its PBEsol-relaxed geometry, with properties calculated at the SCAN level.

Structure (POSCAR):
```
MgTc2W
1.0
1.403 0.810 9.050
-1.403 0.810 9.050
0.000 -1.620 9.050
Mg Tc W
1 2 1
Direct
0.000 0.000 0.000
0.246 0.246 0.246
0.754 0.754 0.754
0.500 0.500 0.500
```

Output
**Calculated formation energy**: 245 meV/atom
**Space group**: No. 166

# 9
Below is K2Tl at its PBEsol-relaxed geometry, with properties calculated at the SCAN level.

Structure (POSCAR):
```
K2Tl
1.0
3.074 -10.757 0.000
3.074 10.757 0.000
0.000 0.000 4.154
K Tl
4 2
Direct
0.079 0.921 0.750
0.307 0.693 0.250
0.693 0.307 0.750
0.921 0.079 0.250
0.448 0.552 0.750
0.552 0.448 0.250
```

Output
**Offset from the most stable computed form**: 1 meV per atom
**Calculated formation energy**: -117 meV/atom
**Space group**: No. 63

# 10
Below is BaMg2Mo at its PBEsol-relaxed geometry, with properties calculated at the SCAN level.

Structure (POSCAR):
```
BaMg2Mo
1.0
1.556 0.898 11.101
-1.556 0.898 11.101
0.000 -1.797 11.101
Ba Mg Mo
1 2 1
Direct
0.000 0.000 0.000
0.236 0.236 0.236
0.764 0.764 0.764
0.500 0.500 0.500
```

Output
**Offset from the most stable computed form**: 97 meV per atom
**Calculated formation energy**: 708 meV/atom
**Space group**: No. 166

# 11
Below is SrZr2Ru at its PBEsol-relaxed geometry, with properties calculated at the SCAN level.

Structure (POSCAR):
```
SrZr2Ru
1.0
3.335 0.000 0.000
0.000 4.096 0.000
0.000 0.000 7.273
Sr Zr Ru
1 2 1
Direct
0.000 0.000 0.000
0.000 0.000 0.556
0.500 0.500 0.344
0.500 0.500 0.677
```

Output
**Offset from the most stable computed form**: 102 meV per atom
**Calculated formation energy**: 98 meV/atom
**Space group**: No. 25

# 12
Below is Ca2IrPb at its PBEsol-relaxed geometry, with properties calculated at the SCAN level.

Structure (POSCAR):
```
Ca2IrPb
1.0
-2.469 2.469 3.518
2.469 -2.469 3.518
2.469 2.469 -3.518
Ca Ir Pb
2 1 1
Direct
0.000 0.000 0.000
0.750 0.250 0.500
0.500 0.500 0.000
0.250 0.750 0.500
```

Output
**Calculated formation energy**: -320 meV/atom
**Space group**: No. 119

Number 1: magnetic moment 2.45 μB/f.u.. Number 2: magnetic moment 0.90 μB/f.u.. Number 3: magnetic moment 0.00 μB/f.u.. Number 4: magnetic moment 0.00 μB/f.u.. Number 5: magnetic moment 0.00 μB/f.u.. Number 6: magnetic moment 0.00 μB/f.u.. Number 7: magnetic moment 0.00 μB/f.u.. Number 8: magnetic moment 0.00 μB/f.u.. Number 9: magnetic moment 0.00 μB/f.u.. Number 10: magnetic moment 0.00 μB/f.u.. Number 11: magnetic moment 0.00 μB/f.u.. Number 12: magnetic moment 0.00 μB/f.u..